Record 1
BeSbMo2: relaxed, PBE.

Calculated values
- D(E_F): 0.923 states/eV/atom
- Symmetry: I4/mmm, No. 139
- Formation energy from raw total energies: 437.0 meV/atom

Cell: 5.017 5.017 5.017 Å, 134.67 134.67 66.04°
Atoms (fractional coordinates):
Sb (0.250, 0.750, 0.500)
Mo (0.000, 0.000, 0.000)
Mo (0.500, 0.500, 0.000)
Be (0.750, 0.250, 0.500)

---

Record 2
Be2SbMo: relaxed, PBE.

Calculated values
- D(E_F): 0.859 states/eV/atom
- Symmetry: P4/mmm, No. 123
- Formation energy from raw total energies: 577.5 meV/atom

Cell: 2.843 2.843 7.752 Å, 90.00 90.00 90.00°
Atoms (fractional coordinates):
Sb (0.500, 0.500, 0.750)
Mo (0.500, 0.500, 0.250)
Be (0.000, 0.000, 0.044)
Be (0.000, 0.000, 0.456)

---

Please write out number 2 again, unchanged.
Be2SbMo: relaxed, PBE.

Calculated values
- D(E_F): 0.859 states/eV/atom
- Symmetry: P4/mmm, No. 123
- Formation energy from raw total energies: 577.5 meV/atom

Cell: 2.843 2.843 7.752 Å, 90.00 90.00 90.00°
Atoms (fractional coordinates):
Sb (0.500, 0.500, 0.750)
Mo (0.500, 0.500, 0.250)
Be (0.000, 0.000, 0.044)
Be (0.000, 0.000, 0.456)

---

Repeat the first record exactly.
BeSbMo2: relaxed, PBE.

Calculated values
- D(E_F): 0.923 states/eV/atom
- Symmetry: I4/mmm, No. 139
- Formation energy from raw total energies: 437.0 meV/atom

Cell: 5.017 5.017 5.017 Å, 134.67 134.67 66.04°
Atoms (fractional coordinates):
Sb (0.250, 0.750, 0.500)
Mo (0.000, 0.000, 0.000)
Mo (0.500, 0.500, 0.000)
Be (0.750, 0.250, 0.500)

---

> What is the formula in the second record?

Be2SbMo